1.
First-principles (PBE) data for InFe4Co after structural relaxation, as listed in Alexandria via LeMat-Bulk.

a = 4.839 Å, b = 4.839 Å, c = 4.839 Å
α = 60.00°, β = 60.00°, γ = 60.00°
Last column: magnetic moment on the atom in μB.
Fractional coordinates of all 6 atoms:
Co 0.000 0.000 0.000  1.81
Fe 0.375 0.875 0.375  2.46
Fe 0.375 0.375 0.875  2.46
Fe 0.375 0.375 0.375  2.46
Fe 0.875 0.375 0.375  2.46
In 0.750 0.750 0.750  -0.09

Summary:
total moment	11.5	Bohr magnetons per cell
formation energy from the elements	172	meV per atom
space-group type	F-43m (216)
ρ	8.23	g/cm3
E_tot	-42.66	eV per cell

***

2.
First-principles (PBE) data for La6Ho4Th after structural relaxation, as listed in Alexandria via LeMat-Bulk.

a = 5.925 Å, b = 5.746 Å, c = 26.252 Å
α = 90.00°, β = 90.00°, γ = 121.04°
Fractional coordinates of all 22 atoms:
La 0.129 0.257 0.319
La 0.546 0.092 0.750
La 0.193 0.386 0.598
La 0.871 0.743 0.819
La 0.807 0.614 0.402
La 0.193 0.386 0.902
La 0.454 0.908 0.250
La 0.500 0.000 0.500
La 0.129 0.257 0.181
La 0.500 0.000 0.000
La 0.807 0.614 0.098
La 0.871 0.743 0.681
Ho 0.536 0.071 0.625
Ho 0.154 0.309 0.455
Ho 0.846 0.691 0.955
Ho 0.154 0.309 0.045
Ho 0.464 0.929 0.375
Ho 0.464 0.929 0.125
Ho 0.846 0.691 0.545
Ho 0.536 0.071 0.875
Th 0.797 0.594 0.250
Th 0.203 0.406 0.750

Summary:
total moment	0.0	Bohr magnetons per cell
formation energy from the elements	129	meV per atom
space-group type	Cmcm (63)
ρ	7.48	g/cm3
E_tot	-107.76	eV per cell

***

3.
First-principles (PBE) data for UZnHg after structural relaxation, as listed in Alexandria via LeMat-Bulk.

a = 2.978 Å, b = 4.958 Å, c = 4.958 Å
α = 120.00°, β = 90.00°, γ = 90.00°
Last column: magnetic moment on the atom in μB.
Fractional coordinates of all 3 atoms:
Zn 0.166 0.667 0.333  0.01
Hg 0.167 0.000 0.000  0.02
U 0.667 0.333 0.667  2.93

Summary:
total moment	3.3	Bohr magnetons per cell
E above lowest polymorph	0.000	eV per formula unit
formation energy from the elements	88	meV per atom
space-group type	P-6m2 (187)
ρ	13.20	g/cm3
E_tot	-12.60	eV per cell

***

4.
First-principles (PBE) data for AgTe2IrSe after structural relaxation, as listed in Alexandria via LeMat-Bulk.

a = 5.333 Å, b = 4.837 Å, c = 5.333 Å
α = 90.00°, β = 90.00°, γ = 90.00°
Last column: magnetic moment on the atom in μB.
Fractional coordinates of all 5 atoms:
Te 0.500 0.000 0.000  0.00
Te 0.000 0.000 0.500  -0.01
Ag 0.000 0.000 0.000  0.01
Ir 0.500 0.500 0.500  0.72
Se 0.000 0.500 0.000  0.17

Summary:
total moment	1.0	Bohr magnetons per cell
space-group type	P4/mmm (123)
ρ	7.66	g/cm3
E_tot	-14.44	eV per cell
formation energy without anion corrections	1.4071	eV per atom

***

> total moment of number 4 (AgTe2IrSe)?

1.0 Bohr magnetons per cell

***

> Among the records above, which one has the highest E_tot?

UZnHg

***

> Among the records above, which one has the lowest total moment?

La6Ho4Th